BaTa2Ir: relaxed, PBE-GGA.

The structure in POSCAR format:
```
BaTa2Ir
1.0
4.1367 0.0000 0.0000
0.0000 4.1367 0.0000
0.0000 0.0000 5.0662
Ba Ta Ir
1 2 1
Cartesian
0.0000 0.0000 0.0000
0.0000 2.0683 2.5331
2.0683 0.0000 2.5331
2.0683 2.0683 0.0000
```

Properties
V: 87 Å³/f.u.
Polymorph energy (0 for the lowest one): 0.839 eV per atom
Density: 13.24 Mg/m³
Magnetic moment: 0.0 μB/cell
Calculated formation energy: 1.06 eV per atom
DOS(E_F): 5.14 states/eV per cell
Raw total energy: -30.262 eV/cell